# TbPm3Nd2Sm6

An optimized crystal structure of TbPm3Nd2Sm6 (GGA-PBE, Alexandria via LeMat-Bulk).

Cell lengths 6.301, 6.301, 12.067 Å; angles 95.01, 95.01, 119.99 degrees
Fractional positions:
Tb 0.000 0.000 0.000
Pm 0.167 0.833 0.500
Pm 0.833 0.167 0.500
Pm 0.500 0.500 0.500
Nd 0.333 0.667 0.000
Nd 0.667 0.333 0.000
Sm 0.917 0.584 0.750
Sm 0.751 0.751 0.250
Sm 0.083 0.416 0.250
Sm 0.584 0.917 0.750
Sm 0.249 0.249 0.750
Sm 0.416 0.083 0.250

## Properties
Energy of formation from the pure elements: 0.01 eV/atom
Space group: C2/m (12)
Fermi-level density of states: 17.161 states/eV/cell
Total moment: 0.00 Bohr magnetons per cell